{"formula": "Ca2TiSiGe", "functional": "GGA-PBE", "state": "relaxed", "spacegroup": "P4/mmm (123)", "relative_energy_ev_per_atom": 0.000, "total_magnetization_mub_per_cell": 0.0, "cell": [[5.5122, 0.0000, 0.0000], [0.0000, 4.8223, 0.0000], [0.0000, 0.0000, 5.5122]], "species": ["Ge", "Si", "Ca", "Ca", "Ti"], "fractional_positions": [[0.0000, 0.5000, 0.0000], [0.0000, 0.0000, 0.0000], [0.0000, 0.0000, 0.5000], [0.5000, 0.0000, 0.0000], [0.5000, 0.5000, 0.5000]]}